# PBE Ti8CoPb2, optimized geometry
# - Formation energy from the elements: -0.07 eV per atom
# - N(E_F): 0.800 states/eV/atom
# - Calculated total energy: -0.26204 Ha/atom
# - Magnetic moment: 0.9 μB/f.u.
data_Ti8CoPb2
_chemical_formula_sum 'Ti16 Co2 Pb4'
_space_group_name_H-M_alt 'C 1 2/m 1'
_space_group_IT_number 12
_cell_length_a 15.182
_cell_length_b 4.768
_cell_length_c 5.354
_cell_angle_alpha 90.00
_cell_angle_beta 95.09
_cell_angle_gamma 90.00
loop_
_space_group_symop_operation_xyz
'x,y,z'
'-x,-y,-z'
'-x,y,-z'
'x,-y,z'
'x+1/2,y+1/2,z'
'-x+1/2,-y+1/2,-z'
'-x+1/2,y+1/2,-z'
'x+1/2,-y+1/2,z'
loop_
_atom_site_label
_atom_site_fract_x
_atom_site_fract_y
_atom_site_fract_z
Ti1 0.043 0.000 0.270
Ti2 0.081 0.500 0.566
Ti3 0.147 0.500 0.113
Ti4 0.235 0.000 0.344
Co1 0.000 0.500 0.000
Pb1 0.156 0.000 0.809